VASP calculation (GGA-PBE) on TaBiClO4 after structural relaxation.

Lattice parameters (Å, degrees): 6.130 6.130 8.084 68.66 68.66 74.21
Sites, in units of the cell vectors:
Ta 0.656 0.656 0.784
Ta 0.344 0.344 0.216
Bi 0.317 0.317 0.718
Bi 0.683 0.683 0.282
Cl 0.961 0.961 0.234
Cl 0.039 0.039 0.766
O 0.414 0.414 0.411
O 0.586 0.586 0.589
O 0.020 0.416 0.277
O 0.586 0.586 0.063
O 0.584 0.980 0.723
O 0.416 0.020 0.277
O 0.414 0.414 0.937
O 0.980 0.584 0.723

Results
- SG: C2/m (12)
- Formation energy from raw total energies: -1768 meV/atom
- ρ: 6.249 g/cm3